(1)
Computed, not measured: an optimized crystal structure of CdCoTeO at the GGA+U level of DFT.

```
data_CdCoTeO
_chemical_formula_sum 'Cd2 Co2 Te2 O2'
_space_group_name_H-M_alt 'P 4/n m m'
_space_group_IT_number 129
_cell_length_a 3.929
_cell_length_b 3.929
_cell_length_c 10.921
_cell_angle_alpha 90.00
_cell_angle_beta 90.00
_cell_angle_gamma 90.00
loop_
_space_group_symop_operation_xyz
'x,y,z'
'-x,-y,-z'
'-y+1/2,x,z'
'y+1/2,-x,-z'
'-x+1/2,-y+1/2,z'
'x+1/2,y+1/2,-z'
'y,-x+1/2,z'
'-y,x+1/2,-z'
'x+1/2,-y,-z'
'-x+1/2,y,z'
'-y,-x,-z'
'y,x,z'
'-x,y+1/2,-z'
'x,-y+1/2,z'
'y+1/2,x+1/2,-z'
'-y+1/2,-x+1/2,z'
loop_
_atom_site_label
_atom_site_type_symbol
_atom_site_fract_x
_atom_site_fract_y
_atom_site_fract_z
Cd1 Cd 0.250 0.250 0.091
Co1 Co 0.250 0.250 0.592
Te1 Te 0.250 0.250 0.351
O1 O 0.250 0.750 0.000
```



(2)
Computed, not measured: an optimized crystal structure of CdCoTeO at the GGA+U level of DFT.

```
data_CdCoTeO
_chemical_formula_sum 'Cd2 Co2 Te2 O2'
_space_group_name_H-M_alt 'P 63 m c'
_space_group_IT_number 186
_space_group_name_Hall 'P 6c -2c'
_cell_length_a 3.8978
_cell_length_b 3.8978
_cell_length_c 12.2326
_cell_angle_alpha 90.00
_cell_angle_beta 90.00
_cell_angle_gamma 120.00
loop_
_atom_site_label
_atom_site_type_symbol
_atom_site_fract_x
_atom_site_fract_y
_atom_site_fract_z
Cd1 Cd 0.3333 0.6667 0.0000
Co1 Co 0.0000 0.0000 0.2046
Te1 Te 0.3333 0.6667 0.3115
O1 O 0.0000 0.0000 0.0504
```



Values of uncorrected energy, in order: -29.48 -31.39, all in eV for the cell shown.